Computed, not measured: a geometry-optimized Y2SbI structure at the PBE-GGA level of DFT.

The value obtained for the uncorrected formation energy is -323 kJ/mol of formula units. The theoretical density is 6.36 Mg/m³.

The space group is Fm-3m (No. 225) and the conventional cell measures 7.637, 7.637 and 7.637 Å, with angles of 90.00, 90.00 and 90.00 degrees. The inequivalent atoms are Y at (0.250, 0.250, 0.250), Sb at (0.000, 0.000, 0.000) and I at (0.000, 0.000, 0.500).

Computed, not measured: a geometry-optimized YSbI3 structure at the PBE-GGA level of DFT.

The value obtained for the uncorrected formation energy is 98 kJ/mol of formula units. The value obtained for the distance to the lowest polymorph of the same formula is 682 meV per atom. The theoretical density is 4.44 Mg/m³.

The space group is Pm-3m (No. 221) and the conventional cell measures 6.047, 6.047 and 6.047 Å, with angles of 90.00, 90.00 and 90.00 degrees. The inequivalent atoms are Y at (0.000, 0.000, 0.000), Sb at (0.500, 0.500, 0.500) and I at (0.000, 0.500, 0.500).

Computed, not measured: a geometry-optimized Y2SbI2 structure at the PBE-GGA level of DFT.

The value obtained for the uncorrected formation energy is -621 kJ/mol of formula units. The theoretical density is 4.95 Mg/m³.

The space group is R-3m (No. 166, hexagonal axes) and the conventional cell measures 4.3475, 4.3475 and 34.0307 Å, with angles of 90.00, 90.00 and 120.00 degrees. The inequivalent atoms are Y at (0.0000, 0.0000, 0.1170), Sb at (0.0000, 0.0000, 0.5000) and I at (0.0000, 0.0000, 0.2735).

Computed, not measured: a geometry-optimized YSb2I structure at the PBE-GGA level of DFT.

The value obtained for the uncorrected formation energy is -143 kJ/mol of formula units. The value obtained for the distance to the lowest polymorph of the same formula is 0 meV per atom. The theoretical density is 6.03 Mg/m³.

The space group is I-42d (No. 122) and the conventional cell measures 4.547, 4.547 and 24.490 Å, with angles of 90.00, 90.00 and 90.00 degrees. The inequivalent atoms are Y at (0.000, 0.000, 0.000), Sb at (0.198, 0.250, 0.125) and I at (0.000, 0.000, 0.500).

Computed, not measured: a geometry-optimized YSbI3 structure at the PBE-GGA level of DFT.

The value obtained for the uncorrected formation energy is -230 kJ/mol of formula units. The value obtained for the distance to the lowest polymorph of the same formula is 0 meV per atom. The theoretical density is 4.39 Mg/m³.

The space group is Pm-3m (No. 221) and the conventional cell measures 6.069, 6.069 and 6.069 Å, with angles of 90.00, 90.00 and 90.00 degrees. The inequivalent atoms are Y at (0.000, 0.000, 0.000), Sb at (0.500, 0.500, 0.500) and I at (0.000, 0.000, 0.500).

Computed, not measured: a geometry-optimized Y6Sb5I structure at the PBE-GGA level of DFT.

The value obtained for the uncorrected formation energy is -1315 kJ/mol of formula units. The theoretical density is 5.82 Mg/m³.

The space group is C2/m (No. 12) and the conventional cell measures 7.632, 13.207 and 7.613 Å, with angles of 90.00, 109.36 and 90.00 degrees. The inequivalent atoms are Y at (0.233, 0.000, 0.254), Y at (0.236, 0.176, 0.738), Sb at (0.000, 0.000, 0.500), Sb at (0.000, 0.169, 0.000), Sb at (0.000, 0.342, 0.500) and I at (0.000, 0.500, 0.000).

Computed, not measured: a geometry-optimized YSbI structure at the PBE-GGA level of DFT.

The value obtained for the uncorrected formation energy is -302 kJ/mol of formula units. The theoretical density is 5.92 Mg/m³.

The space group is Cmcm (No. 63) and the conventional cell measures 4.317, 14.405 and 6.087 Å, with angles of 90.00, 90.00 and 90.00 degrees. The inequivalent atoms are Y at (0.000, 0.117, 0.250), Sb at (0.000, 0.500, 0.000) and I at (0.000, 0.217, 0.750).

Computed, not measured: a geometry-optimized YSb3I structure at the PBE-GGA level of DFT.

The value obtained for the uncorrected formation energy is 328 kJ/mol of formula units. The value obtained for the distance to the lowest polymorph of the same formula is 386 meV per atom. The theoretical density is 5.31 Mg/m³.

The space group is Pm-3m (No. 221) and the conventional cell measures 5.664, 5.664 and 5.664 Å, with angles of 90.00, 90.00 and 90.00 degrees. The inequivalent atoms are Y at (0.000, 0.000, 0.000), Sb at (0.000, 0.500, 0.500) and I at (0.500, 0.500, 0.500).

Computed, not measured: a geometry-optimized Y2SbI structure at the PBE-GGA level of DFT.

The value obtained for the uncorrected formation energy is -365 kJ/mol of formula units. The theoretical density is 5.76 Mg/m³.

The space group is R3m (No. 160, hexagonal axes) and the conventional cell measures 4.2688, 4.2688 and 23.3830 Å, with angles of 90.00, 90.00 and 120.00 degrees. The inequivalent atoms are Y at (0.0000, 0.0000, 0.0000), Y at (0.0000, 0.0000, 0.1890), Sb at (0.0000, 0.0000, 0.5932) and I at (0.0000, 0.0000, 0.7628).

Computed, not measured: a geometry-optimized YSb3I structure at the PBE-GGA level of DFT.

The value obtained for the uncorrected formation energy is 142 kJ/mol of formula units. The value obtained for the distance to the lowest polymorph of the same formula is 0 meV per atom. The theoretical density is 4.89 Mg/m³.

The space group is Pm-3m (No. 221) and the conventional cell measures 5.823, 5.823 and 5.823 Å, with angles of 90.00, 90.00 and 90.00 degrees. The inequivalent atoms are Y at (0.000, 0.000, 0.000), Sb at (0.000, 0.000, 0.500) and I at (0.500, 0.500, 0.500).

Computed, not measured: a geometry-optimized YZnSb2I structure at the PBE-GGA level of DFT.

The value obtained for the uncorrected formation energy is 81 kJ/mol of formula units. The value obtained for the distance to the lowest polymorph of the same formula is 109 meV per atom. The theoretical density is 4.16 Mg/m³.

The space group is P4/mmm (No. 123) and the conventional cell measures 5.928, 5.928 and 5.957 Å, with angles of 90.00, 90.00 and 90.00 degrees. The inequivalent atoms are Y at (0.000, 0.000, 0.000), Zn at (0.500, 0.500, 0.500), Sb at (0.000, 0.500, 0.000) and I at (0.000, 0.000, 0.500).

Computed, not measured: a geometry-optimized YZn2SbI structure at the PBE-GGA level of DFT.

The value obtained for the uncorrected formation energy is 15 kJ/mol of formula units. The theoretical density is 4.67 Mg/m³.

The space group is P4/mmm (No. 123) and the conventional cell measures 5.303, 5.303 and 5.924 Å, with angles of 90.00, 90.00 and 90.00 degrees. The inequivalent atoms are Y at (0.000, 0.000, 0.000), Zn at (0.000, 0.500, 0.500), Sb at (0.000, 0.000, 0.500) and I at (0.500, 0.500, 0.000).

Computed, not measured: a geometry-optimized YZnSb2I structure at the PBE-GGA level of DFT.

The value obtained for the uncorrected formation energy is 29 kJ/mol of formula units. The value obtained for the distance to the lowest polymorph of the same formula is 0 meV per atom. The theoretical density is 5.70 Mg/m³.

The space group is P4/mmm (No. 123) and the conventional cell measures 5.132, 5.132 and 5.801 Å, with angles of 90.00, 90.00 and 90.00 degrees. The inequivalent atoms are Y at (0.000, 0.000, 0.000), Zn at (0.500, 0.500, 0.500), Sb at (0.000, 0.500, 0.500) and I at (0.500, 0.500, 0.000).

Computed, not measured: a geometry-optimized Y2ZnSbI structure at the PBE-GGA level of DFT.

The value obtained for the uncorrected formation energy is 263 kJ/mol of formula units. The theoretical density is 4.42 Mg/m³.

The space group is P4/mmm (No. 123) and the conventional cell measures 5.644, 5.644 and 5.802 Å, with angles of 90.00, 90.00 and 90.00 degrees. The inequivalent atoms are Y at (0.000, 0.500, 0.000), Zn at (0.000, 0.000, 0.500), Sb at (0.500, 0.500, 0.500) and I at (0.500, 0.500, 0.000).